Ac2HgAs: relaxed, PBE.

The value obtained for the spin magnetization is 0.0 μB/cell. As for the formation energy: -0.79 eV per atom.

The space group is P4/mmm (No. 123) and the conventional cell measures 4.0206, 4.0206 and 7.6609 Å, with angles of 90.00, 90.00 and 90.00 degrees. The asymmetric unit holds Ac at (0.0000, 0.0000, 0.2305), Hg at (0.5000, 0.5000, 0.5000) and As at (0.5000, 0.5000, 0.0000).

---

Mg6InAu5: relaxed, PBE.

The value obtained for the spin magnetization is 0.0 μB/cell. As for the formation energy: -0.52 eV per atom.

The space group is Immm (No. 71) and the conventional cell measures 4.7281, 6.7115 and 14.1355 Å, with angles of 90.00, 90.00 and 90.00 degrees. The asymmetric unit holds Mg at (0.0000, 0.2287, 0.0000), Mg at (0.0000, 0.2606, 0.3258), In at (0.0000, 0.0000, 0.5000), Au at (0.0000, 0.0000, 0.1683), Au at (0.0000, 0.5000, 0.1554) and Au at (0.0000, 0.5000, 0.5000).

---

NaPaBiPb: relaxed, PBE.

The value obtained for the spin magnetization is 1.0 μB/cell. As for the formation energy: 0.04 eV per atom.

The space group is F-43m (No. 216) and the conventional cell measures 7.6707, 7.6707 and 7.6707 Å, with angles of 90.00, 90.00 and 90.00 degrees. The asymmetric unit holds Na at (0.0000, 0.0000, 0.0000), Pa at (0.0000, 0.0000, 0.5000), Bi at (0.2500, 0.2500, 0.2500) and Pb at (0.2500, 0.2500, 0.7500).

---

Na2Cd3Au3: relaxed, PBE.

The value obtained for the spin magnetization is 0.0 μB/cell. As for the formation energy: -0.18 eV per atom.

The space group is P-62m (No. 189) and the conventional cell measures 8.3411, 8.3411 and 2.8690 Å, with angles of 90.00, 90.00 and 120.00 degrees. The asymmetric unit holds Na at (0.3333, 0.6667, 0.0000), Cd at (0.0000, 0.2614, 0.0000) and Au at (0.0000, 0.6548, 0.5000).

---

ZnAg2SbPd: relaxed, PBE.

The value obtained for the spin magnetization is 0.0 μB/cell. Its uncorrected formation energy is 0.35 eV/atom.

The space group is P4/mmm (No. 123) and the conventional cell measures 4.7975, 4.7975 and 4.7160 Å, with angles of 90.00, 90.00 and 90.00 degrees. The asymmetric unit holds Zn at (0.0000, 0.0000, 0.0000), Ag at (0.0000, 0.5000, 0.0000), Sb at (0.5000, 0.5000, 0.5000) and Pd at (0.0000, 0.0000, 0.5000).

---

LiFePCl2: relaxed, PBE.

The value obtained for the spin magnetization is 5.2 μB/cell. Its uncorrected formation energy is 0.34 eV/atom.

The space group is P4/mmm (No. 123) and the conventional cell measures 4.4174, 4.4174 and 5.0911 Å, with angles of 90.00, 90.00 and 90.00 degrees. The asymmetric unit holds Li at (0.0000, 0.0000, 0.0000), Fe at (0.5000, 0.5000, 0.5000), P at (0.0000, 0.0000, 0.5000) and Cl at (0.0000, 0.5000, 0.0000).

---

Er4TlHg: relaxed, PBE.

The value obtained for the spin magnetization is 0.0 μB/cell. As for the formation energy: -0.07 eV per atom.

The space group is P4/mmm (No. 123) and the conventional cell measures 5.0827, 5.0827 and 7.2412 Å, with angles of 90.00, 90.00 and 90.00 degrees. The asymmetric unit holds Er at (0.0000, 0.5000, 0.2412), Tl at (0.0000, 0.0000, 0.5000) and Hg at (0.5000, 0.5000, 0.0000).

---

BBrOF2: relaxed, PBE.

The value obtained for the spin magnetization is 0.0 μB/cell. Its uncorrected formation energy is -0.28 eV/atom.

The space group is P4/mmm (No. 123) and the conventional cell measures 3.3049, 3.3049 and 5.1243 Å, with angles of 90.00, 90.00 and 90.00 degrees. The asymmetric unit holds B at (0.0000, 0.0000, 0.0000), Br at (0.5000, 0.5000, 0.5000), O at (0.0000, 0.0000, 0.5000) and F at (0.0000, 0.5000, 0.0000).

---

Number 1: DOS(E_F) 0.985 states/eV per atom. Number 2: DOS(E_F) 0.266 states/eV per atom. Number 3: DOS(E_F) 1.409 states/eV per atom. Number 4: DOS(E_F) 0.292 states/eV per atom. Number 5: DOS(E_F) 0.493 states/eV per atom. Number 6: DOS(E_F) 0.875 states/eV per atom. Number 7: DOS(E_F) 0.888 states/eV per atom. Number 8: DOS(E_F) 0.258 states/eV per atom.